Entry 1:
Material: Ho5Co2Ag2
Method: DFT, PBE
State: optimized geometry

Computed properties:
The space group is No. 64. The calculation puts the formation energy from the elements at -0.237 eV/atom.

a b c (Å): 7.1517 7.2352 8.7445
angles (deg): 90.00 65.86 90.00
Element x y z (fractional)
Ho 0.0000 0.0000 0.0000
Ho 0.5000 0.5000 0.0000
Ho 0.4435 0.1827 0.7510
Ho 0.8055 0.8173 0.7510
Ho 0.3055 0.6827 0.7510
Ho 0.9435 0.3173 0.7510
Ho 0.5565 0.8173 0.2490
Ho 0.1945 0.1827 0.2490
Ho 0.6945 0.3173 0.2490
Ho 0.0565 0.6827 0.2490
Co 0.1099 0.3874 0.0000
Co 0.8901 0.6126 0.0000
Co 0.3901 0.8874 0.0000
Co 0.6099 0.1126 0.0000
Ag 0.2198 0.0000 0.5603
Ag 0.7198 0.5000 0.5603
Ag 0.7802 0.0000 0.4397
Ag 0.2802 0.5000 0.4397

---

Entry 2:
Material: Ho2Co2Ag
Method: DFT, PBE
State: optimized geometry

Computed properties:
The space group is No. 65. The calculation puts the formation energy from the elements at -0.250 eV/atom.

a b c (Å): 3.7992 3.7949 7.0396
angles (deg): 105.64 90.00 90.00
Element x y z (fractional)
Ho 0.5000 0.6358 0.2716
Ho 0.5000 0.3642 0.7284
Co 0.0000 0.2062 0.4124
Co 0.0000 0.7938 0.5876
Ag 0.0000 0.0000 0.0000

---

Entry 3:
Material: Ho2CoAg
Method: DFT, PBE
State: optimized geometry

Computed properties:
The space group is No. 166. The calculation puts the formation energy from the elements at -0.107 eV/atom.

a b c (Å): 3.7966 3.7966 7.8246
angles (deg): 75.96 75.96 60.00
Element x y z (fractional)
Co 0.0000 0.0000 0.0000
Ho 0.7329 0.7329 0.8012
Ho 0.2671 0.2671 0.1988
Ag 0.5000 0.5000 0.5000

---

Entry 4:
Material: Ho8Co2Ag
Method: DFT, PBE
State: optimized geometry

Computed properties:
The space group is No. 12. The calculation puts the formation energy from the elements at -0.074 eV/atom.

a b c (Å): 5.4556 7.6400 7.6400
angles (deg): 113.21 97.94 97.94
Element x y z (fractional)
Ho 0.9158 0.9297 0.6678
Ho 0.9158 0.6678 0.9297
Ho 0.3038 0.6185 0.6185
Ho 0.5000 0.7576 0.2424
Ho 0.5000 0.2424 0.7576
Ho 0.6962 0.3815 0.3815
Ho 0.0842 0.3322 0.0703
Ho 0.0842 0.0703 0.3322
Co 0.0000 0.3050 0.6950
Co 0.0000 0.6950 0.3050
Ag 0.5000 0.0000 0.0000

---

Entry 5:
Material: Ho4CoAg
Method: DFT, PBE
State: optimized geometry

Computed properties:
The space group is No. 109. Its offset from the most stable computed form is 247 meV per atom. The calculation puts the formation energy from the elements at 0.004 eV/atom.

a b c (Å): 7.7419 7.7419 7.7419
angles (deg): 106.71 106.71 115.15
Element x y z (fractional)
Ho 0.2769 0.9680 0.6911
Ho 0.7243 0.4322 0.7079
Ho 0.7180 0.5269 0.1911
Ho 0.1822 0.9743 0.2079
Ho 0.3358 0.5269 0.8089
Ho 0.7663 0.9743 0.7921
Ho 0.7243 0.0163 0.2921
Ho 0.2769 0.5858 0.3089
Co 0.7535 0.7535 0.0000
Co 0.5035 0.0035 0.5000
Ag 0.2441 0.2441 0.0000
Ag 0.9941 0.4941 0.5000

---

Entry 6:
Material: Ho2CoAg
Method: DFT, PBE
State: optimized geometry

Computed properties:
The space group is No. 123. The calculation puts the formation energy from the elements at -0.259 eV/atom.

a b c (Å): 3.3549 3.3549 7.4974
angles (deg): 90.00 90.00 90.00
Element x y z (fractional)
Co 0.5000 0.5000 0.0000
Ho 0.0000 0.0000 0.7809
Ho 0.0000 0.0000 0.2191
Ag 0.5000 0.5000 0.5000

---

> Look up the formation energy from the elements of the fourth one.

-0.074 eV/atom